Entry from Alexandria via LeMat-Bulk: Ni2MoP after structural relaxation (PBE).

For the calculated total energy, the calculation gives -6.99 eV/atom. Its density is 8.15 g cm⁻³. As for the size of the total moment: 0.00 μB per formula unit.

abc: 8.0789 8.0789 8.0789
angles: 19.19 19.19 19.19
Closest atoms and distances in Å follow each position.
Fractional coordinates of all 4 atoms:
Ni (0.2389, 0.2389, 0.2389)  3 P 2.32
Ni (0.7611, 0.7611, 0.7611)  3 P 2.32
P (0.5000, 0.5000, 0.5000)  6 Ni 2.32
Mo (0.0000, 0.0000, 0.0000)  6 Mo 2.69, 6 Ni 2.73


Entry from Alexandria via LeMat-Bulk: Ni2MoP after structural relaxation (PBE).

For the calculated total energy, the calculation gives -7.13 eV/atom. Its density is 8.15 g cm⁻³. As for the size of the total moment: 0.00 μB per formula unit.

abc: 3.8782 2.7487 4.7917
angles: 76.90 90.00 90.00
Closest atoms and distances in Å follow each position.
Fractional coordinates of all 4 atoms:
Ni (0.0000, 0.3961, 0.7615)  2 P 2.30, 2 Ni 2.44-2.48
Ni (0.0000, 0.6039, 0.2385)  2 P 2.30, 2 Ni 2.44-2.48
P (0.5000, 0.5000, 0.0000)  4 Ni 2.30, 2 Mo 2.48
Mo (0.5000, 0.0000, 0.5000)  2 P 2.48, 8 Ni 2.67, 2 Mo 2.75


Entry from Alexandria via LeMat-Bulk: Ni3Mo2P after structural relaxation (PBE).

For the calculated total energy, the calculation gives -7.71 eV/atom. Its density is 9.12 g cm⁻³. As for the size of the total moment: 0.00 μB per formula unit.

abc: 4.7596 4.7596 7.4058
angles: 90.00 90.00 120.00
Closest atoms and distances in Å follow each position.
Fractional coordinates of all 12 atoms:
Ni (0.6643, 0.8321, 0.7500)  2 P 2.31, 4 Ni 2.36-2.40
Ni (0.3357, 0.1679, 0.2500)  2 P 2.31, 4 Ni 2.36-2.40
Ni (0.1679, 0.3357, 0.7500)  2 P 2.31, 4 Ni 2.36-2.40
Ni (0.1679, 0.8321, 0.7500)  2 P 2.31, 4 Ni 2.36-2.40
Ni (0.8321, 0.1679, 0.2500)  2 P 2.31, 4 Ni 2.36-2.40
Ni (0.8321, 0.6643, 0.2500)  2 P 2.31, 4 Ni 2.36-2.40
Mo (0.6667, 0.3333, 0.5641)  9 Ni 2.70-2.75, 4 Mo 2.75-2.91, 3 P 2.79
Mo (0.3333, 0.6667, 0.4359)  9 Ni 2.70-2.75, 4 Mo 2.75-2.91, 3 P 2.79
Mo (0.3333, 0.6667, 0.0641)  9 Ni 2.70-2.75, 4 Mo 2.75-2.91, 3 P 2.79
Mo (0.6667, 0.3333, 0.9359)  9 Ni 2.70-2.75, 4 Mo 2.75-2.91, 3 P 2.79
P (0.0000, 0.0000, 0.5000)  6 Ni 2.31
P (0.0000, 0.0000, 0.0000)  6 Ni 2.31


Entry from Alexandria via LeMat-Bulk: Ni2MoP after structural relaxation (PBE).

For the calculated total energy, the calculation gives -7.35 eV/atom. Its density is 8.37 g cm⁻³. As for the size of the total moment: 0.00 μB per formula unit.

abc: 4.5825 6.4263 13.1740
angles: 90.00 90.00 90.00
Closest atoms and distances in Å follow each position.
Fractional coordinates of all 32 atoms:
Mo (0.4452, 0.2500, 0.1392)  3 P 2.45-2.51, 2 Ni 2.74
Mo (0.0548, 0.2500, 0.6392)  3 P 2.45-2.51, 2 Ni 2.74
Mo (0.2428, 0.7500, 0.6107)  3 P 2.42-2.55
Mo (0.2572, 0.7500, 0.1107)  3 P 2.42-2.55
Mo (0.7428, 0.2500, 0.8893)  3 P 2.42-2.55
Mo (0.7572, 0.2500, 0.3893)  3 P 2.42-2.55
Mo (0.9452, 0.7500, 0.3608)  3 P 2.45-2.51, 2 Ni 2.74
Mo (0.5548, 0.7500, 0.8608)  3 P 2.45-2.51, 2 Ni 2.74
Ni (0.2413, 0.4437, 0.4654)  3 P 2.23-2.32, 2 Ni 2.49-2.50
Ni (0.4481, 0.9445, 0.2871)  3 P 2.21-2.30
Ni (0.5519, 0.0555, 0.7129)  3 P 2.21-2.30
Ni (0.9481, 0.4445, 0.2129)  3 P 2.21-2.30
Ni (0.7413, 0.5563, 0.0346)  3 P 2.23-2.32, 2 Ni 2.49-2.50
Ni (0.9481, 0.0555, 0.2129)  3 P 2.21-2.30
Ni (0.2587, 0.0563, 0.9654)  3 P 2.23-2.32, 2 Ni 2.49-2.50
Ni (0.5519, 0.4445, 0.7129)  3 P 2.21-2.30
Ni (0.0519, 0.5555, 0.7871)  3 P 2.21-2.30
Ni (0.7413, 0.9437, 0.0346)  3 P 2.23-2.32, 2 Ni 2.49-2.50
Ni (0.2587, 0.4437, 0.9654)  3 P 2.23-2.32, 2 Ni 2.49-2.50
Ni (0.7587, 0.5563, 0.5346)  3 P 2.23-2.32, 2 Ni 2.49-2.50
Ni (0.7587, 0.9437, 0.5346)  3 P 2.23-2.32, 2 Ni 2.49-2.50
Ni (0.0519, 0.9445, 0.7871)  3 P 2.21-2.30
Ni (0.2413, 0.0563, 0.4654)  3 P 2.23-2.32, 2 Ni 2.49-2.50
Ni (0.4481, 0.5555, 0.2871)  3 P 2.21-2.30
P (0.5475, 0.2500, 0.5665)  6 Ni 2.23-2.30, 1 Mo 2.45
P (0.2425, 0.2500, 0.3165)  6 Ni 2.21-2.32, 1 Mo 2.42
P (0.7425, 0.7500, 0.1835)  6 Ni 2.21-2.32, 1 Mo 2.42
P (0.7575, 0.7500, 0.6835)  6 Ni 2.21-2.32, 1 Mo 2.42
P (0.4525, 0.7500, 0.4335)  6 Ni 2.23-2.30, 1 Mo 2.45
P (0.2575, 0.2500, 0.8165)  6 Ni 2.21-2.32, 1 Mo 2.42
P (0.0475, 0.7500, 0.9335)  6 Ni 2.23-2.30, 1 Mo 2.45
P (0.9525, 0.2500, 0.0665)  6 Ni 2.23-2.30, 1 Mo 2.45